Computed, not measured: a crystal of LiCaCd2 relaxed with PBEsol at the SCAN level of DFT.

a b c (Å): 4.301 4.688 4.688
angles (deg): 90.00 89.98 89.98
Positions (direct):
Li: 0.500 0.000 0.000
Cd: 0.000 0.000 0.500
Cd: 0.000 0.500 0.000
Ca: 0.500 0.500 0.500

Its energy of formation is -253 meV per atom. The value obtained for the total moment is 0.00 Bohr magnetons per cell. For the energy relative to the lowest polymorph listed for this composition, the calculation gives 89.1 meV/atom. As for the symmetry: No. 123. For the density of states at the Fermi level, the calculation gives 2.301 states/eV per cell. Its calculated total energy is -73.9 eV/f.u. For the calculated volume, the calculation gives 94.5 Å³/cell.

=====

Computed, not measured: a crystal of Li4CaCd relaxed with PBEsol at the SCAN level of DFT.

a b c (Å): 5.600 5.600 5.600
angles (deg): 60.00 60.00 60.00
Positions (direct):
Li: 0.373 0.373 0.373
Li: 0.373 0.882 0.373
Li: 0.882 0.373 0.373
Li: 0.373 0.373 0.882
Ca: 0.750 0.750 0.750
Cd: 0.000 0.000 0.000

Its energy of formation is -112 meV per atom. The value obtained for the total moment is 0.17 Bohr magnetons per cell. As for the symmetry: No. 216. For the density of states at the Fermi level, the calculation gives 3.150 states/eV per cell. Its calculated total energy is -50.3 eV/f.u. For the calculated volume, the calculation gives 124.2 Å³/cell.

=====

Computed, not measured: a crystal of LiCaCd relaxed with PBEsol at the SCAN level of DFT.

a b c (Å): 5.105 5.105 5.105
angles (deg): 60.00 60.00 60.00
Positions (direct):
Ca: 0.750 0.750 0.750
Li: 0.500 0.500 0.500
Cd: 0.000 0.000 0.000

Its energy of formation is 190 meV per atom. The value obtained for the total moment is 0.00 Bohr magnetons per cell. For the energy relative to the lowest polymorph listed for this composition, the calculation gives 461.9 meV/atom. As for the symmetry: No. 216. For the density of states at the Fermi level, the calculation gives 1.716 states/eV per cell. Its calculated total energy is -41.9 eV/f.u. For the calculated volume, the calculation gives 94.1 Å³/cell.

=====

Computed, not measured: a crystal of LiCaCd2 relaxed with PBEsol at the SCAN level of DFT.

a b c (Å): 5.073 5.073 5.073
angles (deg): 60.00 60.00 60.00
Positions (direct):
Cd: 0.750 0.750 0.750
Cd: 0.250 0.250 0.250
Li: 0.500 0.500 0.500
Ca: 0.000 0.000 0.000

Its energy of formation is -294 meV per atom. The value obtained for the total moment is 0.00 Bohr magnetons per cell. For the energy relative to the lowest polymorph listed for this composition, the calculation gives 47.9 meV/atom. As for the symmetry: No. 225. For the density of states at the Fermi level, the calculation gives 1.991 states/eV per cell. Its calculated total energy is -74.1 eV/f.u. For the calculated volume, the calculation gives 92.3 Å³/cell.

=====

Computed, not measured: a crystal of LiCaCd relaxed with PBEsol at the SCAN level of DFT.

a b c (Å): 3.713 3.713 5.882
angles (deg): 108.40 108.40 90.00
Positions (direct):
Ca: 0.005 0.005 0.011
Li: 0.308 0.308 0.616
Cd: 0.686 0.686 0.373

Its energy of formation is -272 meV per atom. The value obtained for the total moment is 0.09 Bohr magnetons per cell. For the energy relative to the lowest polymorph listed for this composition, the calculation gives 0.0 meV/atom. As for the symmetry: No. 107. For the density of states at the Fermi level, the calculation gives 1.860 states/eV per cell. Its calculated total energy is -43.3 eV/f.u. For the calculated volume, the calculation gives 72.6 Å³/cell.

=====

Computed, not measured: a crystal of Li2CaCd2 relaxed with PBEsol at the SCAN level of DFT.

a b c (Å): 4.185 4.185 7.269
angles (deg): 106.73 106.73 90.00
Positions (direct):
Ca: 0.000 0.000 0.000
Cd: 0.608 0.608 0.216
Cd: 0.392 0.392 0.784
Li: 0.250 0.750 0.500
Li: 0.750 0.250 0.500

Its energy of formation is -265 meV per atom. The value obtained for the total moment is 0.00 Bohr magnetons per cell. For the energy relative to the lowest polymorph listed for this composition, the calculation gives 0.0 meV/atom. As for the symmetry: No. 139. For the density of states at the Fermi level, the calculation gives 2.522 states/eV per cell. Its calculated total energy is -76.6 eV/f.u. For the calculated volume, the calculation gives 116.3 Å³/cell.